1.
Pm4Co2C: relaxed, PBE-GGA.

Crystal system: tetragonal
Mass density in g/cm3: 6.7
DFT total energy in eV per atom: -5.9487

Cell lengths 4.9878, 4.9878, 14.1598 Å; angles 90.00, 90.00, 90.00 degrees
Closest atoms and distances in Å follow each position.
Space group I4/mmm (No. 139)
Symmetry-distinct sites (fractional):
Pm (0.0000, 0.0000, 0.1944) [4 per cell]  1 Co 2.58
Pm (0.0000, 0.5000, 0.0000) [4 per cell]  2 C 2.49
Co (0.0000, 0.0000, 0.3764) [4 per cell]  1 C 1.75
C (0.0000, 0.0000, 0.5000) [2 per cell]  2 Co 1.75

2.
Hf2Ag2Se: relaxed, PBE-GGA.

Crystal system: tetragonal
Mass density in g/cm3: 10.2
DFT total energy in eV per atom: -6.0399
Formation energy (no corrections) in eV/atom: -0.22

Cell lengths 6.9160, 6.9160, 4.4432 Å; angles 90.00, 90.00, 90.00 degrees
Closest atoms and distances in Å follow each position.
Space group P4/mbm (No. 127)
Symmetry-distinct sites (fractional):
Hf (0.1587, 0.3413, 0.0000) [4 per cell]  2 Se 2.60
Ag (0.1402, 0.6402, 0.5000) [4 per cell]  1 Ag 2.74, 6 Hf 2.97-3.04
Se (0.0000, 0.0000, 0.0000) [2 per cell]  4 Hf 2.60

3.
AcPmErZn: relaxed, PBE-GGA.

Crystal system: cubic
Mass density in g/cm3: 8.3
DFT total energy in eV per atom: -3.4953

Cell lengths 7.8570, 7.8570, 7.8570 Å; angles 90.00, 90.00, 90.00 degrees
Closest atoms and distances in Å follow each position.
Space group F-43m (No. 216)
Symmetry-distinct sites (fractional):
Ac (0.0000, 0.0000, 0.0000) [4 per cell]  4 Er 3.40, 4 Pm 3.40
Pm (0.2500, 0.2500, 0.2500) [4 per cell]  4 Ac 3.40, 4 Zn 3.40
Er (0.2500, 0.2500, 0.7500) [4 per cell]  4 Ac 3.40, 4 Zn 3.40
Zn (0.0000, 0.0000, 0.5000) [4 per cell]  4 Pm 3.40, 4 Er 3.40